# 1
DFT (PBE) results for a geometry-optimized Na2Cd6Ag structure.

a b c (Å): 6.572 6.572 5.953
angles (deg): 90.01 90.01 59.99
Element x y z (fractional)
Na1 0.167 0.167 0.167
Na2 0.833 0.833 0.833
Cd1 0.138 0.681 0.320
Cd2 0.318 0.318 0.682
Cd3 0.319 0.862 0.680
Cd4 0.681 0.138 0.320
Cd5 0.682 0.682 0.318
Cd6 0.862 0.319 0.680
Ag1 0.500 0.500 0.000

---

# 2
DFT (PBE) results for a geometry-optimized Na4CdAg2 structure.

a b c (Å): 10.802 10.802 3.062
angles (deg): 90.00 90.00 90.00
Element x y z (fractional)
Na1 0.080 0.296 0.000
Na2 0.204 0.580 0.500
Na3 0.296 0.080 0.000
Na4 0.420 0.796 0.500
Na5 0.580 0.204 0.500
Na6 0.704 0.920 0.000
Na7 0.796 0.420 0.500
Na8 0.920 0.704 0.000
Cd1 0.000 0.000 0.500
Cd2 0.500 0.500 0.000
Ag1 0.165 0.835 0.000
Ag2 0.335 0.335 0.500
Ag3 0.665 0.665 0.500
Ag4 0.835 0.165 0.000

---

# 3
DFT (PBE) results for a geometry-optimized NaCd6Ag8 structure.

a b c (Å): 8.811 8.811 4.788
angles (deg): 90.00 90.00 120.00
Element x y z (fractional)
Na1 0.000 0.000 0.000
Cd1 0.214 0.428 0.000
Cd2 0.214 0.786 0.000
Cd3 0.428 0.214 0.000
Cd4 0.572 0.786 0.000
Cd5 0.786 0.214 0.000
Cd6 0.786 0.572 0.000
Ag1 0.000 0.329 0.500
Ag2 0.000 0.671 0.500
Ag3 0.329 0.000 0.500
Ag4 0.329 0.329 0.500
Ag5 0.333 0.667 0.500
Ag6 0.667 0.333 0.500
Ag7 0.671 0.000 0.500
Ag8 0.671 0.671 0.500

---

# 4
DFT (PBE) results for a geometry-optimized NaCd5Ag7 structure.

a b c (Å): 7.453 7.453 7.453
angles (deg): 134.60 97.67 99.46
Element x y z (fractional)
Na1 0.000 0.000 0.000
Cd1 0.488 0.492 0.496
Cd2 0.488 0.992 0.995
Cd3 0.792 0.292 0.500
Cd4 0.997 0.492 0.005
Cd5 0.997 0.992 0.504
Ag1 0.200 0.700 0.500
Ag2 0.219 0.493 0.726
Ag3 0.347 0.993 0.354
Ag4 0.349 0.349 0.000
Ag5 0.639 0.993 0.646
Ag6 0.648 0.648 0.000
Ag7 0.767 0.493 0.274

---

# 5
DFT (PBE) results for a geometry-optimized Na6Cd2Ag structure.

a b c (Å): 8.970 8.970 5.098
angles (deg): 106.02 106.02 50.02
Element x y z (fractional)
Na1 0.077 0.597 0.339
Na2 0.235 0.765 0.000
Na3 0.403 0.923 0.661
Na4 0.597 0.077 0.339
Na5 0.765 0.235 0.000
Na6 0.923 0.403 0.661
Cd1 0.336 0.336 0.838
Cd2 0.664 0.664 0.162
Ag1 0.000 0.000 0.500

---

# 6
DFT (PBE) results for a geometry-optimized Na2Cd2Ag15 structure.

a b c (Å): 7.368 7.368 7.368
angles (deg): 82.27 82.27 82.27
Element x y z (fractional)
Na1 0.152 0.152 0.152
Na2 0.848 0.848 0.848
Cd1 0.399 0.399 0.399
Cd2 0.601 0.601 0.601
Ag1 0.000 0.500 0.500
Ag2 0.154 0.154 0.657
Ag3 0.154 0.657 0.154
Ag4 0.192 0.500 0.808
Ag5 0.192 0.808 0.500
Ag6 0.343 0.846 0.846
Ag7 0.500 0.000 0.500
Ag8 0.500 0.192 0.808
Ag9 0.500 0.500 0.000
Ag10 0.500 0.808 0.192
Ag11 0.657 0.154 0.154
Ag12 0.808 0.192 0.500
Ag13 0.808 0.500 0.192
Ag14 0.846 0.343 0.846
Ag15 0.846 0.846 0.343

---

# 7
DFT (PBE) results for a geometry-optimized NaCd2Ag structure.

a b c (Å): 6.974 6.974 6.974
angles (deg): 154.96 136.84 50.54
Element x y z (fractional)
Na1 0.000 0.000 0.000
Cd1 0.278 0.278 0.000
Cd2 0.722 0.722 0.000
Ag1 0.500 0.500 0.000

---

# 8
DFT (PBE) results for a geometry-optimized Na3Cd6Ag structure.

a b c (Å): 8.001 8.001 8.001
angles (deg): 101.86 101.86 101.86
Element x y z (fractional)
Na1 0.069 0.314 0.354
Na2 0.314 0.354 0.069
Na3 0.354 0.069 0.314
Na4 0.646 0.931 0.686
Na5 0.686 0.646 0.931
Na6 0.931 0.686 0.646
Cd1 0.059 0.123 0.682
Cd2 0.123 0.682 0.059
Cd3 0.249 0.730 0.464
Cd4 0.270 0.536 0.751
Cd5 0.318 0.941 0.877
Cd6 0.464 0.249 0.730
Cd7 0.536 0.751 0.270
Cd8 0.682 0.059 0.123
Cd9 0.730 0.464 0.249
Cd10 0.751 0.270 0.536
Cd11 0.877 0.318 0.941
Cd12 0.941 0.877 0.318
Ag1 0.000 0.000 0.000
Ag2 0.500 0.500 0.500

---

# 9
DFT (PBE) results for a geometry-optimized Na12Cd5Ag2 structure.

a b c (Å): 8.243 8.243 8.362
angles (deg): 100.12 100.12 80.63
Element x y z (fractional)
Na1 0.102 0.102 0.227
Na2 0.133 0.651 0.120
Na3 0.150 0.504 0.678
Na4 0.349 0.867 0.880
Na5 0.395 0.395 0.348
Na6 0.496 0.850 0.322
Na7 0.504 0.150 0.678
Na8 0.605 0.605 0.652
Na9 0.651 0.133 0.120
Na10 0.850 0.496 0.322
Na11 0.867 0.349 0.880
Na12 0.898 0.898 0.773
Cd1 0.115 0.115 0.624
Cd2 0.260 0.260 0.965
Cd3 0.500 0.500 0.000
Cd4 0.740 0.740 0.035
Cd5 0.885 0.885 0.376
Ag1 0.227 0.773 0.500
Ag2 0.773 0.227 0.500

---

# 10
DFT (PBE) results for a geometry-optimized Na4Cd4Ag structure.

a b c (Å): 8.076 8.076 8.076
angles (deg): 136.74 136.74 62.84
Element x y z (fractional)
Na1 0.030 0.613 0.000
Na2 0.387 0.387 0.417
Na3 0.613 0.030 0.000
Na4 0.970 0.970 0.583
Cd1 0.232 0.232 0.618
Cd2 0.386 0.768 0.000
Cd3 0.614 0.614 0.382
Cd4 0.768 0.386 0.000
Ag1 0.000 0.000 0.000

---

# 11
DFT (PBE) results for a geometry-optimized Na5CdAg structure.

a b c (Å): 8.481 8.481 5.740
angles (deg): 101.21 101.21 88.77
Element x y z (fractional)
Na1 0.171 0.553 0.169
Na2 0.175 0.323 0.588
Na3 0.229 0.771 0.750
Na4 0.323 0.175 0.088
Na5 0.447 0.829 0.331
Na6 0.553 0.171 0.669
Na7 0.677 0.825 0.912
Na8 0.771 0.229 0.250
Na9 0.825 0.677 0.412
Na10 0.829 0.447 0.831
Cd1 0.060 0.940 0.250
Cd2 0.940 0.060 0.750
Ag1 0.500 0.500 0.000
Ag2 0.500 0.500 0.500

---

# 12
DFT (PBE) results for a geometry-optimized Na5Cd5Ag2 structure.

a b c (Å): 8.019 8.019 9.093
angles (deg): 117.77 117.77 36.57
Element x y z (fractional)
Na1 0.000 0.000 0.000
Na2 0.150 0.150 0.428
Na3 0.269 0.269 0.136
Na4 0.731 0.731 0.864
Na5 0.850 0.850 0.572
Cd1 0.089 0.089 0.726
Cd2 0.329 0.329 0.815
Cd3 0.500 0.500 0.500
Cd4 0.671 0.671 0.185
Cd5 0.911 0.911 0.274
Ag1 0.481 0.481 0.174
Ag2 0.519 0.519 0.826

---

# 13
DFT (PBE) results for a geometry-optimized NaCdAg4 structure.

a b c (Å): 5.608 5.608 5.608
angles (deg): 60.00 60.00 60.00
Element x y z (fractional)
Na1 0.000 0.000 0.000
Cd1 0.750 0.750 0.750
Ag1 0.375 0.375 0.375
Ag2 0.375 0.375 0.875
Ag3 0.375 0.875 0.375
Ag4 0.875 0.375 0.375

---

# 14
DFT (PBE) results for a geometry-optimized NaCd12Ag6 structure.

a b c (Å): 7.980 7.980 7.980
angles (deg): 105.61 105.61 105.61
Element x y z (fractional)
Na1 0.000 0.000 0.000
Cd1 0.114 0.500 0.886
Cd2 0.114 0.886 0.500
Cd3 0.124 0.372 0.372
Cd4 0.372 0.124 0.372
Cd5 0.372 0.372 0.124
Cd6 0.500 0.114 0.886
Cd7 0.500 0.886 0.114
Cd8 0.628 0.628 0.876
Cd9 0.628 0.876 0.628
Cd10 0.876 0.628 0.628
Cd11 0.886 0.114 0.500
Cd12 0.886 0.500 0.114
Ag1 0.295 0.295 0.699
Ag2 0.295 0.699 0.295
Ag3 0.301 0.705 0.705
Ag4 0.699 0.295 0.295
Ag5 0.705 0.301 0.705
Ag6 0.705 0.705 0.301

---

# 15
DFT (PBE) results for a geometry-optimized NaCd2Ag structure.

a b c (Å): 3.530 3.530 7.254
angles (deg): 90.00 90.00 90.00
Element x y z (fractional)
Na1 0.000 0.000 0.000
Cd1 0.500 0.500 0.281
Cd2 0.500 0.500 0.719
Ag1 0.000 0.000 0.500

---

# 16
DFT (PBE) results for a geometry-optimized Na3Cd7Ag4 structure.

a b c (Å): 8.703 8.703 10.316
angles (deg): 121.85 121.85 30.74
Element x y z (fractional)
Na1 0.000 0.000 0.000
Na2 0.303 0.303 0.297
Na3 0.697 0.697 0.703
Cd1 0.000 0.000 0.500
Cd2 0.155 0.155 0.431
Cd3 0.319 0.319 0.980
Cd4 0.494 0.494 0.695
Cd5 0.506 0.506 0.305
Cd6 0.681 0.681 0.020
Cd7 0.845 0.845 0.569
Ag1 0.117 0.117 0.827
Ag2 0.336 0.336 0.726
Ag3 0.664 0.664 0.274
Ag4 0.883 0.883 0.173

---

# 17
DFT (PBE) results for a geometry-optimized Na12CdAg2 structure.

a b c (Å): 6.566 6.566 25.277
angles (deg): 90.00 90.00 90.00
Element x y z (fractional)
Na1 0.000 0.000 0.087
Na2 0.000 0.000 0.913
Na3 0.000 0.500 0.087
Na4 0.000 0.500 0.913
Na5 0.068 0.568 0.436
Na6 0.068 0.932 0.564
Na7 0.250 0.250 0.195
Na8 0.250 0.250 0.327
Na9 0.250 0.250 0.673
Na10 0.250 0.250 0.805
Na11 0.432 0.568 0.564
Na12 0.432 0.932 0.436
Na13 0.500 0.000 0.087
Na14 0.500 0.000 0.913
Na15 0.500 0.500 0.087
Na16 0.500 0.500 0.913
Na17 0.568 0.068 0.564
Na18 0.568 0.432 0.436
Na19 0.750 0.750 0.195
Na20 0.750 0.750 0.327
Na21 0.750 0.750 0.673
Na22 0.750 0.750 0.805
Na23 0.932 0.068 0.436
Na24 0.932 0.432 0.564
Cd1 0.250 0.750 0.000
Cd2 0.750 0.250 0.000
Ag1 0.250 0.750 0.172
Ag2 0.250 0.750 0.828
Ag3 0.750 0.250 0.172
Ag4 0.750 0.250 0.828

---

# 18
DFT (PBE) results for a geometry-optimized Na2Cd2Ag structure.

a b c (Å): 7.351 7.351 4.876
angles (deg): 90.00 90.00 90.00
Element x y z (fractional)
Na1 0.172 0.328 0.000
Na2 0.328 0.828 0.000
Na3 0.672 0.172 0.000
Na4 0.828 0.672 0.000
Cd1 0.140 0.640 0.500
Cd2 0.360 0.140 0.500
Cd3 0.640 0.860 0.500
Cd4 0.860 0.360 0.500
Ag1 0.000 0.000 0.500
Ag2 0.500 0.500 0.500

---

# 19
DFT (PBE) results for a geometry-optimized NaCd8Ag5 structure.

a b c (Å): 7.378 7.378 7.378
angles (deg): 112.64 112.64 103.31
Element x y z (fractional)
Na1 0.000 0.000 0.000
Cd1 0.095 0.336 0.450
Cd2 0.272 0.175 0.763
Cd3 0.355 0.905 0.241
Cd4 0.412 0.509 0.237
Cd5 0.491 0.728 0.903
Cd6 0.664 0.114 0.759
Cd7 0.825 0.588 0.097
Cd8 0.886 0.645 0.550
Ag1 0.030 0.457 0.840
Ag2 0.250 0.750 0.500
Ag3 0.543 0.383 0.573
Ag4 0.617 0.190 0.160
Ag5 0.810 0.970 0.427

---

We obtain formation energy from the elements values of -58 -7 -47 -7 48 21 23 -68 -100 -32 -14 -74 -11 17 -19 -79 187 -16 39 kJ/mol of formula units for the records listed above, in that order.
We obtain VASP energy values of -1.29 -1.71 -2.01 -1.99 -1.34 -2.47 -1.44 -1.30 -1.43 -1.35 -1.50 -1.47 -2.29 -1.54 -1.55 -1.61 -1.37 -1.50 -1.61 eV per atom for the records listed above, in that order.
We obtain total magnetization values of 0.00 0.00 0.00 0.00 0.00 0.00 0.00 0.00 0.00 0.00 0.00 0.00 0.00 0.00 0.00 0.00 0.00 0.00 0.00 μB/cell for the records listed above, in that order.